Record 1
# Pr8Ir5Pt

Pr8Ir5Pt after structural relaxation (PBE-GGA, Alexandria via LeMat-Bulk).

Its spin magnetization is 0.00 μB per formula unit. For the calculated total energy, the calculation gives -195.2 eV per cell. As for the crystal system: tetragonal. Its formation energy is -0.644 eV per atom.

Cell lengths 8.9805, 8.9805, 8.9472 Å; angles 90.00, 90.00, 90.00 degrees
Space group I-4 (No. 82)
Unique sites:
Pr: 0.0618 0.3105 0.0656
Pr: 0.0637 0.1842 0.6860
Ir: 0.0000 0.0000 0.0000
Ir: 0.1267 0.2485 0.3757
Pt: 0.0000 0.5000 0.7500

***

Record 2
# Pr5Ir2Pt2

Pr5Ir2Pt2 after structural relaxation (PBE-GGA, Alexandria via LeMat-Bulk).

Its spin magnetization is 0.00 μB per formula unit. For the calculated total energy, the calculation gives -243.4 eV per cell. As for the crystal system: orthorhombic. Its formation energy is -0.795 eV per atom.

Cell lengths 15.1433, 7.8569, 7.8111 Å; angles 90.00, 90.00, 90.00 degrees
Space group Cmce (No. 64)
Unique sites:
Pr: 0.0000 0.0000 0.0000
Pr: 0.1350 0.1740 0.3324
Ir: 0.0000 0.1263 0.6249
Pt: 0.2030 0.0000 0.0000

***

Record 3
# Pr6Ir2Pt

Pr6Ir2Pt after structural relaxation (PBE-GGA, Alexandria via LeMat-Bulk).

Its spin magnetization is 0.00 μB per formula unit. For the calculated total energy, the calculation gives -112.9 eV per cell. As for the crystal system: monoclinic. Its formation energy is -0.446 eV per atom.

Cell lengths 13.3694, 5.5543, 9.2723 Å; angles 90.00, 118.96, 90.00 degrees
Space group C2/m (No. 12)
Unique sites:
Pr: 0.0168 0.0000 0.2101
Pr: 0.1425 0.5000 0.5571
Pr: 0.2124 0.5000 0.1158
Ir: 0.1856 0.0000 0.1065
Pt: 0.0000 0.0000 0.5000

***

Record 4
# Pr7Ir2Pt2

Pr7Ir2Pt2 after structural relaxation (PBE-GGA, Alexandria via LeMat-Bulk).

Its spin magnetization is 0.00 μB per formula unit. For the calculated total energy, the calculation gives -138.2 eV per cell. As for the crystal system: orthorhombic. Its formation energy is -0.530 eV per atom.

Cell lengths 8.8607, 10.7947, 7.1288 Å; angles 90.00, 90.00, 90.00 degrees
Space group Cmmm (No. 65)
Unique sites:
Pr: 0.0000 0.0000 0.0000
Pr: 0.0000 0.5000 0.2491
Pr: 0.2500 0.2500 0.2584
Ir: 0.0000 0.2763 0.0000
Pt: 0.2382 0.0000 0.5000

***

Record 5
# Pr3IrPt

Pr3IrPt after structural relaxation (PBE-GGA, Alexandria via LeMat-Bulk).

As for the energy above the most stable polymorph in this dataset: 0.0543 eV/atom. Its spin magnetization is 0.00 μB per formula unit. For the calculated total energy, the calculation gives -65.5 eV per cell. As for the crystal system: triclinic. Its formation energy is -0.700 eV per atom.

Cell lengths 5.9837, 7.3543, 7.3874 Å; angles 97.38, 107.08, 107.20 degrees
Space group P-1 (No. 2)
Unique sites:
Pr: 0.0782 0.2867 0.0545
Pr: 0.2446 0.3898 0.6016
Pr: 0.4210 0.9591 0.7070
Ir: 0.2539 0.6610 0.3353
Pt: 0.0707 0.0075 0.3172

***

Record 6
# Pr3IrPt

Pr3IrPt after structural relaxation (PBE-GGA, Alexandria via LeMat-Bulk).

As for the energy above the most stable polymorph in this dataset: 0.0000 eV/atom. Its spin magnetization is 0.00 μB per formula unit. For the calculated total energy, the calculation gives -132.1 eV per cell. As for the crystal system: monoclinic. Its formation energy is -0.754 eV per atom.

Cell lengths 8.9744, 7.5116, 8.6365 Å; angles 90.00, 106.25, 90.00 degrees
Space group P2_1/c (No. 14)
Unique sites:
Pr: 0.0484 0.0015 0.2170
Pr: 0.2881 0.6513 0.1091
Pr: 0.3521 0.1867 0.0099
Ir: 0.0549 0.1864 0.5178
Pt: 0.4045 0.5367 0.8190

***

Respective theoretical density values: 10.5, 10.6, 7.9, 8.6, 9.3, 9.6 g/cm3.